Entry 1:
Density functional theory data (PBE) for a relaxed TaMo7 crystal.

Calculated values
The calculation puts the calculated volume at 129 Å³/cell. The formation enthalpy at 0 K is -0.6 eV per formula unit. The space group is No. 166. The calculation puts the energy relative to the lowest polymorph listed for this composition at 0.0255 eV per atom.

Cell: 7.7989 7.7989 7.7989 Å, 33.52 33.52 33.52°
Positions (direct):
Ta1 0.0000 0.0000 0.0000
Mo1 0.1261 0.1261 0.1261
Mo2 0.2498 0.2498 0.2498
Mo3 0.3763 0.3763 0.3763
Mo4 0.5000 0.5000 0.5000
Mo5 0.6237 0.6237 0.6237
Mo6 0.7502 0.7502 0.7502
Mo7 0.8739 0.8739 0.8739

***

Entry 2:
Density functional theory data (PBE) for a relaxed TaMo2 crystal.

Calculated values
The calculation puts the calculated volume at 99 Å³/cell. The formation enthalpy at 0 K is -0.3 eV per formula unit. The space group is No. 65.

Cell: 2.8094 2.8094 13.4172 Å, 90.00 90.00 110.20°
Positions (direct):
Ta1 0.0000 0.0000 0.1687
Ta2 0.0000 0.0000 0.8313
Mo1 0.0000 0.0000 0.5000
Mo2 0.5000 0.5000 0.0000
Mo3 0.5000 0.5000 0.3380
Mo4 0.5000 0.5000 0.6620

***

Entry 3:
Density functional theory data (PBE) for a relaxed Ta3Mo crystal.

Calculated values
The calculation puts the calculated volume at 140 Å³/cell. The formation enthalpy at 0 K is -0.4 eV per formula unit. The space group is No. 51. The calculation puts the energy relative to the lowest polymorph listed for this composition at 0.0059 eV per atom.

Cell: 4.6467 3.2591 9.2606 Å, 90.00 90.00 90.00°
Positions (direct):
Ta1 0.2500 0.0000 0.1180
Ta2 0.2500 0.0000 0.6353
Ta3 0.2500 0.5000 0.3785
Ta4 0.7500 0.0000 0.3647
Ta5 0.7500 0.0000 0.8820
Ta6 0.7500 0.5000 0.6215
Mo1 0.2500 0.5000 0.8749
Mo2 0.7500 0.5000 0.1251

***

Entry 4:
Density functional theory data (PBE) for a relaxed TaMo2 crystal.

Calculated values
The calculation puts the calculated volume at 50 Å³/cell. The formation enthalpy at 0 K is -0.6 eV per formula unit. The space group is No. 139.

Cell: 5.3271 5.3271 5.3271 Å, 144.99 144.99 50.35°
Positions (direct):
Ta1 0.0000 0.0000 0.0000
Mo1 0.3298 0.3298 0.0000
Mo2 0.6702 0.6702 0.0000

***

Entry 5:
Density functional theory data (PBE) for a relaxed TaMo7 crystal.

Calculated values
The calculation puts the calculated volume at 129 Å³/cell. The formation enthalpy at 0 K is -0.7 eV per formula unit. The space group is No. 123. The calculation puts the energy relative to the lowest polymorph listed for this composition at 0.0231 eV per atom.

Cell: 3.1796 3.1796 12.7402 Å, 90.00 90.00 90.00°
Positions (direct):
Ta1 0.0000 0.0000 0.0000
Mo1 0.0000 0.0000 0.2517
Mo2 0.0000 0.0000 0.5000
Mo3 0.0000 0.0000 0.7483
Mo4 0.5000 0.5000 0.1293
Mo5 0.5000 0.5000 0.3764
Mo6 0.5000 0.5000 0.6236
Mo7 0.5000 0.5000 0.8707

***

Entry 6:
Density functional theory data (PBE) for a relaxed TaMo2 crystal.

Calculated values
The calculation puts the calculated volume at 100 Å³/cell. The formation enthalpy at 0 K is 0.3 eV per formula unit. The space group is No. 58.

Cell: 2.7313 8.0254 4.5713 Å, 90.00 90.00 90.00°
Positions (direct):
Ta1 0.0000 0.0000 0.0000
Ta2 0.5000 0.5000 0.5000
Mo1 0.1969 0.3358 0.0000
Mo2 0.3031 0.8358 0.5000
Mo3 0.6969 0.1642 0.5000
Mo4 0.8031 0.6642 0.0000

***

Entry 7:
Density functional theory data (PBE) for a relaxed TaMo7 crystal.

Calculated values
The calculation puts the calculated volume at 129 Å³/cell. The formation enthalpy at 0 K is -0.6 eV per formula unit. The space group is No. 10. The calculation puts the energy relative to the lowest polymorph listed for this composition at 0.0271 eV per atom.

Cell: 5.2802 4.5036 5.4956 Å, 90.00 99.95 90.00°
Positions (direct):
Ta1 0.0000 0.0000 0.0000
Mo1 0.0000 0.0000 0.5000
Mo2 0.2489 0.5000 0.3737
Mo3 0.2523 0.5000 0.8737
Mo4 0.4965 0.0000 0.7487
Mo5 0.5035 0.0000 0.2513
Mo6 0.7477 0.5000 0.1263
Mo7 0.7511 0.5000 0.6263

***

Entry 8:
Density functional theory data (PBE) for a relaxed TaMo2 crystal.

Calculated values
The calculation puts the calculated volume at 50 Å³/cell. The formation enthalpy at 0 K is -0.3 eV per formula unit. The space group is No. 69.

Cell: 7.1165 6.9220 2.8020 Å, 82.41 74.61 22.97°
Positions (direct):
Ta1 0.0000 0.0000 0.0000
Mo1 0.3309 0.3309 0.6691
Mo2 0.6691 0.6691 0.3309